Entry 1:
Crystalline AcPm2Ir9 at its relaxed geometry, computed with PBE.

## Properties
- Density of states at the Fermi level: 13.01 states/eV/f.u.
- E_tot: -99.4 eV for the cell shown
- SG: R-3m, No. 166
- V: 18.74 A^3/atom

a b c (Å): 5.4240 5.4240 9.3662
angles (deg): 73.17 73.17 60.00
Closest atoms and distances in Å follow each position.
Fractional positions:
Ac 0.0000 0.0000 0.0000  18 Ir 3.13-3.47
Pm 0.8600 0.8600 0.4200  12 Ir 3.12-3.35, 3 Pm 3.43
Pm 0.1400 0.1400 0.5800  12 Ir 3.12-3.35, 3 Pm 3.43
Ir 0.6680 0.6680 0.9961  6 Ir 2.66-2.70
Ir 0.3320 0.3320 0.0039  6 Ir 2.66-2.70
Ir 0.5000 0.5000 0.5000  6 Ir 2.73
Ir 0.4196 0.4196 0.2457  7 Ir 2.66-2.74
Ir 0.9150 0.4196 0.2457  7 Ir 2.66-2.74
Ir 0.4196 0.9150 0.2457  7 Ir 2.66-2.74
Ir 0.5804 0.5804 0.7543  7 Ir 2.66-2.74
Ir 0.5804 0.0850 0.7543  7 Ir 2.66-2.74
Ir 0.0850 0.5804 0.7543  7 Ir 2.66-2.74

Entry 2:
Crystalline Ac3PmIr at its relaxed geometry, computed with PBE.

## Properties
- Density of states at the Fermi level: 6.09 states/eV/f.u.
- E_tot: -55.1 eV for the cell shown
- SG: C2/m, No. 12
- V: 38.32 A^3/atom

a b c (Å): 7.9518 7.9518 8.9027
angles (deg): 55.69 55.69 74.29
Closest atoms and distances in Å follow each position.
Fractional positions:
Ac 0.0443 0.4485 0.7918  1 Ir 2.90
Ac 0.4485 0.0443 0.7918  1 Ir 2.90
Ac 0.5515 0.9557 0.2082  1 Ir 2.90
Ac 0.4525 0.4525 0.2559  2 Ir 2.90-3.25
Ac 0.9557 0.5515 0.2082  1 Ir 2.90
Ac 0.5475 0.5475 0.7441  2 Ir 2.90-3.25
Pm 0.0446 0.0446 0.6522  1 Ir 2.78
Pm 0.9554 0.9554 0.3478  1 Ir 2.78
Ir 0.7545 0.7545 0.8351  1 Pm 2.78, 3 Ac 2.90
Ir 0.2455 0.2455 0.1649  1 Pm 2.78, 3 Ac 2.90

Entry 3:
Crystalline AcPmIr at its relaxed geometry, computed with PBE.

## Properties
- Density of states at the Fermi level: 2.96 states/eV/f.u.
- E_tot: -18.9 eV for the cell shown
- SG: I4mm, No. 107
- V: 30.83 A^3/atom

a b c (Å): 3.6813 3.6813 7.3045
angles (deg): 104.60 104.60 90.00
Closest atoms and distances in Å follow each position.
Fractional positions:
Ac 0.5769 0.5769 0.1539  4 Ir 3.18, 1 Pm 3.37
Ir 0.9430 0.9430 0.8860  4 Pm 3.03, 4 Ac 3.18
Pm 0.3300 0.3300 0.6601  4 Ir 3.03, 1 Ac 3.37

Entry 4:
Crystalline AcPmIr at its relaxed geometry, computed with PBE.

## Properties
- Density of states at the Fermi level: 2.55 states/eV/f.u.
- E_tot: -38.7 eV for the cell shown
- SG: C2/m, No. 12
- V: 35.36 A^3/atom

a b c (Å): 4.3222 4.3225 13.3462
angles (deg): 80.68 80.68 60.00
Closest atoms and distances in Å follow each position.
Fractional positions:
Ac 0.1843 0.1227 0.5088  3 Ir 2.96
Ac 0.7552 0.6910 0.7986  3 Ir 2.96
Pm 0.3461 0.2819 0.0259  3 Ir 2.86
Pm 0.5934 0.5319 0.2814  3 Ir 2.86
Ir 0.8913 0.8298 0.3877  3 Pm 2.86, 3 Ac 2.96
Ir 0.0482 0.9839 0.9197  3 Pm 2.86, 3 Ac 2.96